Below is Sr2LaMn2O7 at its PBEsol-relaxed geometry, with properties calculated at the meta-GGA SCAN level.

Results
The calculation puts the calculated volume at 12.2 Å³/atom. As for the raw total energy: -203.143 eV per formula unit. As for the symmetry: I4mm. The total magnetic moment is 7.0 μB per cell. The value obtained for the energy relative to the elements, uncorrected is -35.36 eV/f.u.

a b c (Å): 3.842 3.842 10.291
angles (deg): 100.76 100.76 90.00
Atoms (fractional coordinates):
Sr (0.504, 0.504, 0.008)
O (0.999, 0.999, 0.998)
O (0.597, 0.097, 0.193)
La (0.317, 0.317, 0.635)
Mn (0.098, 0.098, 0.197)
Mn (0.905, 0.905, 0.810)
Sr (0.681, 0.681, 0.362)
O (0.199, 0.199, 0.398)
O (0.399, 0.899, 0.798)
O (0.097, 0.597, 0.193)
O (0.899, 0.399, 0.798)
O (0.805, 0.805, 0.609)